# PuThTlAg, optimized geometry, DFT PBE-GGA
data_PuThTlAg
_cell_length_a 7.5954
_cell_length_b 7.5954
_cell_length_c 7.5954
_cell_angle_alpha 90.00
_cell_angle_beta 90.00
_cell_angle_gamma 90.00
_symmetry_space_group_name_H-M 'F -4 3 m'
_symmetry_Int_Tables_number 216
_symmetry_space_group_name_Hall 'F -4 2 3'
loop_
_atom_site_label
_atom_site_fract_x
_atom_site_fract_y
_atom_site_fract_z
_atom_site_occupancy
Pu1 0.0000 0.0000 0.0000 1
Th1 0.0000 0.0000 0.5000 1
Tl1 0.2500 0.2500 0.2500 1
Ag1 0.2500 0.2500 0.7500 1
# density of states at the Fermi level = 2.9290 states/eV/atom
# energy relative to the elements = 0.02 eV per atom
# uncorrected energy = -0.24687 Ha/atom

***

# HfNpAg2O6, optimized geometry, DFT PBE-GGA
data_HfNpAg2O6
_cell_length_a 5.8592
_cell_length_b 8.2859
_cell_length_c 5.8587
_cell_angle_alpha 90.00
_cell_angle_beta 90.00
_cell_angle_gamma 90.00
_symmetry_space_group_name_H-M 'P m m n'
_symmetry_Int_Tables_number 59
loop_
_symmetry_equiv_pos_as_xyz
'x,y,z'
'-x,-y,-z'
'-x+1/2,-y+1/2,z'
'x+1/2,y+1/2,-z'
'x+1/2,-y,-z'
'-x+1/2,y,z'
'-x,y+1/2,-z'
'x,-y+1/2,z'
loop_
_atom_site_label
_atom_site_fract_x
_atom_site_fract_y
_atom_site_fract_z
_atom_site_occupancy
Hf1 0.2500 0.2500 0.2494 1
Np1 0.2500 0.7500 0.2504 1
Ag1 0.2500 0.0000 0.7487 1
O1 0.9996 0.2500 0.4995 1
O2 0.0001 0.2500 0.9991 1
O3 0.2500 0.9998 0.2504 1
# density of states at the Fermi level = 0.0890 states/eV/atom
# ΔE_f (raw) = -2.103 eV per atom
# uncorrected energy = -0.29172 Ha/atom

***

# Zn3NiCl, optimized geometry, DFT PBE-GGA
data_Zn3NiCl
_cell_length_a 4.6769
_cell_length_b 4.6769
_cell_length_c 4.6769
_cell_angle_alpha 90.00
_cell_angle_beta 90.00
_cell_angle_gamma 90.00
_symmetry_space_group_name_H-M 'P m -3 m'
_symmetry_Int_Tables_number 221
_symmetry_space_group_name_Hall '-P 4 2 3'
loop_
_atom_site_label
_atom_site_fract_x
_atom_site_fract_y
_atom_site_fract_z
_atom_site_occupancy
Zn1 0.0000 0.0000 0.5000 1
Ni1 0.0000 0.0000 0.0000 1
Cl1 0.5000 0.5000 0.5000 1
# energy above the lowest structure with this stoichiometry = 0 meV per atom
# density of states at the Fermi level = 0.3065 states/eV/atom
# ΔE_f (raw) = 0.059 eV per atom
# uncorrected energy = -0.08198 Ha/atom

***

# KCaSb2, optimized geometry, DFT PBE-GGA
data_KCaSb2
_cell_length_a 3.5522
_cell_length_b 3.5522
_cell_length_c 9.7472
_cell_angle_alpha 90.00
_cell_angle_beta 90.00
_cell_angle_gamma 90.00
_symmetry_space_group_name_H-M 'P 4/m m m'
_symmetry_Int_Tables_number 123
_symmetry_space_group_name_Hall '-P 4 2'
loop_
_atom_site_label
_atom_site_fract_x
_atom_site_fract_y
_atom_site_fract_z
_atom_site_occupancy
K1 0.0000 0.0000 0.0000 1
Ca1 0.0000 0.0000 0.5000 1
Sb1 0.5000 0.5000 0.2723 1
# energy above the lowest structure with this stoichiometry = 43 meV per atom
# density of states at the Fermi level = 0.3976 states/eV/atom
# ΔE_f (raw) = -0.597 eV per atom
# uncorrected energy = -0.12615 Ha/atom

***

# Ca2TmHfBi4, optimized geometry, DFT PBE-GGA
data_Ca2TmHfBi4
_cell_length_a 7.6219
_cell_length_b 4.3710
_cell_length_c 7.9615
_cell_angle_alpha 90.00
_cell_angle_beta 108.30
_cell_angle_gamma 90.00
_symmetry_space_group_name_H-M 'P 1 2/m 1'
_symmetry_Int_Tables_number 10
_symmetry_space_group_name_Hall '-P 2y'
loop_
_atom_site_label
_atom_site_fract_x
_atom_site_fract_y
_atom_site_fract_z
_atom_site_occupancy
Ca1 0.0000 0.0000 0.0000 1
Ca2 0.5000 0.5000 0.0000 1
Tm1 0.0000 0.5000 0.5000 1
Hf1 0.5000 0.0000 0.5000 1
Bi1 0.2538 0.0000 0.7328 1
Bi2 0.2669 0.5000 0.2725 1
# density of states at the Fermi level = 0.3168 states/eV/atom
# energy relative to the elements = -0.59 eV per atom
# uncorrected energy = -0.17782 Ha/atom

***

# ScAg3Sn, optimized geometry, DFT PBE-GGA
data_ScAg3Sn
_cell_length_a 5.1008
_cell_length_b 5.1008
_cell_length_c 5.1008
_cell_angle_alpha 90.00
_cell_angle_beta 90.00
_cell_angle_gamma 90.00
_symmetry_space_group_name_H-M 'P m -3 m'
_symmetry_Int_Tables_number 221
_symmetry_space_group_name_Hall '-P 4 2 3'
loop_
_atom_site_label
_atom_site_fract_x
_atom_site_fract_y
_atom_site_fract_z
_atom_site_occupancy
Sc1 0.0000 0.0000 0.0000 1
Ag1 0.0000 0.5000 0.5000 1
Sn1 0.5000 0.5000 0.5000 1
# energy above the lowest structure with this stoichiometry = 597 meV per atom
# density of states at the Fermi level = 0.7256 states/eV/atom
# energy relative to the elements = 0.52 eV per atom
# uncorrected energy = -0.11982 Ha/atom

***

# Sr3P2F, optimized geometry, DFT PBE-GGA
data_Sr3P2F
_cell_length_a 6.2456
_cell_length_b 14.5437
_cell_length_c 14.5193
_cell_angle_alpha 90.00
_cell_angle_beta 100.21
_cell_angle_gamma 90.00
_symmetry_space_group_name_H-M 'C 1 2/c 1'
_symmetry_Int_Tables_number 15
_symmetry_space_group_name_Hall '-C 2yc'
loop_
_atom_site_label
_atom_site_fract_x
_atom_site_fract_y
_atom_site_fract_z
_atom_site_occupancy
Sr1 0.0000 0.0025 0.2500 1
Sr2 0.0000 0.3793 0.7500 1
Sr3 0.1794 0.3122 0.3739 1
Sr4 0.2418 0.0843 0.0111 1
P1 0.1405 0.1898 0.8143 1
P2 0.2383 0.1078 0.4257 1
F1 0.2072 0.4983 0.3400 1
# energy above the lowest structure with this stoichiometry = 0 meV per atom
# ΔE_f (raw) = -1.714 eV per atom
# uncorrected energy = -0.17162 Ha/atom

***

# MnNbBi2, optimized geometry, DFT PBE-GGA
data_MnNbBi2
_cell_length_a 6.8805
_cell_length_b 6.8805
_cell_length_c 6.8805
_cell_angle_alpha 90.00
_cell_angle_beta 90.00
_cell_angle_gamma 90.00
_symmetry_space_group_name_H-M 'F m -3 m'
_symmetry_Int_Tables_number 225
_symmetry_space_group_name_Hall '-F 4 2 3'
loop_
_atom_site_label
_atom_site_fract_x
_atom_site_fract_y
_atom_site_fract_z
_atom_site_occupancy
Mn1 0.0000 0.0000 0.0000 1
Nb1 0.0000 0.0000 0.5000 1
Bi1 0.2500 0.2500 0.2500 1
# density of states at the Fermi level = 3.3071 states/eV/atom
# energy relative to the elements = 0.71 eV per atom
# uncorrected energy = -0.22194 Ha/atom

***

# TlTcCl5, optimized geometry, DFT PBE-GGA
data_TlTcCl5
_cell_length_a 13.4335
_cell_length_b 9.0141
_cell_length_c 8.9150
_cell_angle_alpha 90.00
_cell_angle_beta 110.61
_cell_angle_gamma 90.00
_symmetry_space_group_name_H-M 'C 1 2/c 1'
_symmetry_Int_Tables_number 15
_symmetry_space_group_name_Hall '-C 2yc'
loop_
_atom_site_label
_atom_site_fract_x
_atom_site_fract_y
_atom_site_fract_z
_atom_site_occupancy
Tl1 0.0000 0.2131 0.2500 1
Tc1 0.0000 0.0000 0.0000 1
Cl1 0.0000 0.4795 0.2500 1
Cl2 0.1217 0.1848 0.0103 1
Cl3 0.1388 0.1653 0.6116 1
# density of states at the Fermi level = 0.5324 states/eV/atom
# ΔE_f (raw) = -0.476 eV per atom
# uncorrected energy = -0.13280 Ha/atom

***

# GeMoSCl2, optimized geometry, DFT PBE-GGA
data_GeMoSCl2
_cell_length_a 4.8814
_cell_length_b 4.8814
_cell_length_c 4.7315
_cell_angle_alpha 90.00
_cell_angle_beta 90.00
_cell_angle_gamma 90.00
_symmetry_space_group_name_H-M 'P 4/m m m'
_symmetry_Int_Tables_number 123
_symmetry_space_group_name_Hall '-P 4 2'
loop_
_atom_site_label
_atom_site_fract_x
_atom_site_fract_y
_atom_site_fract_z
_atom_site_occupancy
Ge1 0.0000 0.0000 0.0000 1
Mo1 0.5000 0.5000 0.5000 1
S1 0.5000 0.5000 0.0000 1
Cl1 0.0000 0.5000 0.5000 1
# energy above the lowest structure with this stoichiometry = 0 meV per atom
# density of states at the Fermi level = 0.7773 states/eV/atom
# ΔE_f (raw) = 0.100 eV per atom
# uncorrected energy = -0.16734 Ha/atom

***

# KSrLi, optimized geometry, DFT PBE-GGA
data_KSrLi
_cell_length_a 8.6432
_cell_length_b 8.6432
_cell_length_c 8.6432
_cell_angle_alpha 90.00
_cell_angle_beta 90.00
_cell_angle_gamma 90.00
_symmetry_space_group_name_H-M 'F -4 3 m'
_symmetry_Int_Tables_number 216
_symmetry_space_group_name_Hall 'F -4 2 3'
loop_
_atom_site_label
_atom_site_fract_x
_atom_site_fract_y
_atom_site_fract_z
_atom_site_occupancy
K1 0.0000 0.0000 0.0000 1
Sr1 0.0000 0.0000 0.5000 1
Li1 0.2500 0.2500 0.2500 1
# energy above the lowest structure with this stoichiometry = 203 meV per atom
# density of states at the Fermi level = 0.7720 states/eV/atom
# energy relative to the elements = 0.26 eV per atom
# uncorrected energy = -0.04803 Ha/atom

***

# Mn2P2Os, optimized geometry, DFT PBE-GGA
data_Mn2P2Os
_cell_length_a 6.3199
_cell_length_b 6.3199
_cell_length_c 3.1198
_cell_angle_alpha 90.00
_cell_angle_beta 90.00
_cell_angle_gamma 90.00
_symmetry_space_group_name_H-M 'P 4/m b m'
_symmetry_Int_Tables_number 127
_symmetry_space_group_name_Hall '-P 4 2ab'
loop_
_atom_site_label
_atom_site_fract_x
_atom_site_fract_y
_atom_site_fract_z
_atom_site_occupancy
Mn1 0.1445 0.3555 0.0000 1
P1 0.1473 0.6473 0.5000 1
Os1 0.0000 0.0000 0.5000 1
# energy above the lowest structure with this stoichiometry = 0 meV per atom
# density of states at the Fermi level = 0.9505 states/eV/atom
# energy relative to the elements = -0.19 eV per atom
# uncorrected energy = -0.30370 Ha/atom